# CaEuPb PBE optimized geometry
data_CaEuPb
_space_group_name_H-M_alt 'I 4 m m'
_space_group_IT_number 107
_space_group_name_Hall 'I 4 -2'
_cell_length_a 3.528
_cell_length_b 3.528
_cell_length_c 19.076
_cell_angle_alpha 90.00
_cell_angle_beta 90.00
_cell_angle_gamma 90.00
loop_
_atom_site_label
_atom_site_fract_x
_atom_site_fract_y
_atom_site_fract_z
Ca1 0.000 0.000 0.000
Eu1 0.000 0.000 0.341
Pb1 0.000 0.000 0.169
# * DOS(E_F): 4.6 states/eV/cell
# * DFT formation energy: 135 meV/atom
# * crystal system: tetragonal